1.
# NdSc5Ni4 | Alexandria | PBE-GGA | relaxed
data_NdSc5Ni4
_chemical_formula_sum 'Nd1 Sc5 Ni4'
_symmetry_space_group_name_H-M 'P 4/m m m'
_symmetry_Int_Tables_number 123
_symmetry_space_group_name_Hall '-P 4 2'
_cell_length_a 3.2244
_cell_length_b 3.2244
_cell_length_c 17.8315
_cell_angle_alpha 90.00
_cell_angle_beta 90.00
_cell_angle_gamma 90.00
loop_
_atom_site_label
_atom_site_type_symbol
_atom_site_fract_x
_atom_site_fract_y
_atom_site_fract_z
Nd1 Nd 0.0000 0.0000 0.0000
Sc1 Sc 0.5000 0.5000 0.1533
Sc2 Sc 0.5000 0.5000 0.3251
Sc3 Sc 0.5000 0.5000 0.5000
Ni1 Ni 0.0000 0.0000 0.2366
Ni2 Ni 0.0000 0.0000 0.4124
# - spin magnetization (μB per atom) = 0.000
# - DFT formation energy (meV/atom) = -375
# - theoretical density (g cm⁻³) = 5.408
# - N(E_F) (states/eV/atom) = 1.08
# - E (eV/atom) = -6.3299

2.
# NdSc3Ni8 | Alexandria | PBE-GGA | relaxed
data_NdSc3Ni8
_chemical_formula_sum 'Nd3 Sc9 Ni24'
_symmetry_space_group_name_H-M 'R 3 m'
_symmetry_Int_Tables_number 160
_symmetry_space_group_name_Hall 'R 3 -2"'
_cell_length_a 4.9529
_cell_length_b 4.9529
_cell_length_c 24.4281
_cell_angle_alpha 90.00
_cell_angle_beta 90.00
_cell_angle_gamma 120.00
loop_
_atom_site_label
_atom_site_type_symbol
_atom_site_fract_x
_atom_site_fract_y
_atom_site_fract_z
Nd1 Nd 0.0000 0.0000 0.0000
Sc1 Sc 0.0000 0.0000 0.3810
Sc2 Sc 0.0000 0.0000 0.5027
Sc3 Sc 0.0000 0.0000 0.8728
Ni1 Ni 0.0000 0.0000 0.1882
Ni2 Ni 0.0000 0.0000 0.6891
Ni3 Ni 0.0036 0.5018 0.4407
Ni4 Ni 0.1673 0.3347 0.2688
# - spin magnetization (μB per atom) = 0.000
# - DFT formation energy (meV/atom) = -456
# - theoretical density (g cm⁻³) = 7.186
# - N(E_F) (states/eV/atom) = 0.63
# - E (eV/atom) = -6.2903
# - relative energy among the computed polymorphs (eV/atom) = 0.000

3.
# NdScNi4 | Alexandria | PBE-GGA | relaxed
data_NdScNi4
_chemical_formula_sum 'Nd4 Sc4 Ni16'
_symmetry_space_group_name_H-M 'F -4 3 m'
_symmetry_Int_Tables_number 216
_symmetry_space_group_name_Hall 'F -4 2 3'
_cell_length_a 7.1237
_cell_length_b 7.1237
_cell_length_c 7.1237
_cell_angle_alpha 90.00
_cell_angle_beta 90.00
_cell_angle_gamma 90.00
loop_
_atom_site_label
_atom_site_type_symbol
_atom_site_fract_x
_atom_site_fract_y
_atom_site_fract_z
Nd1 Nd 0.0000 0.0000 0.0000
Sc1 Sc 0.2500 0.2500 0.7500
Ni1 Ni 0.1239 0.1239 0.3761
# - spin magnetization (μB per atom) = 0.000
# - DFT formation energy (meV/atom) = -393
# - theoretical density (g cm⁻³) = 7.790
# - N(E_F) (states/eV/atom) = 0.67
# - E (eV/atom) = -6.0974

4.
# NdScNi2 | Alexandria | PBE-GGA | relaxed
data_NdScNi2
_chemical_formula_sum 'Nd3 Sc3 Ni6'
_symmetry_space_group_name_H-M 'R -3 m'
_symmetry_Int_Tables_number 166
_symmetry_space_group_name_Hall '-R 3 2"'
_cell_length_a 4.4208
_cell_length_b 4.4208
_cell_length_c 13.8969
_cell_angle_alpha 90.00
_cell_angle_beta 90.00
_cell_angle_gamma 120.00
loop_
_atom_site_label
_atom_site_type_symbol
_atom_site_fract_x
_atom_site_fract_y
_atom_site_fract_z
Nd1 Nd 0.0000 0.0000 0.0000
Sc1 Sc 0.0000 0.0000 0.5000
Ni1 Ni 0.0000 0.0000 0.2120
# - spin magnetization (μB per atom) = 0.000
# - DFT formation energy (meV/atom) = -334
# - theoretical density (g cm⁻³) = 6.493
# - N(E_F) (states/eV/atom) = 0.80
# - E (eV/atom) = -5.9995
# - relative energy among the computed polymorphs (eV/atom) = 0.000

5.
# NdScTlNi | Alexandria | PBE-GGA | relaxed
data_NdScTlNi
_chemical_formula_sum 'Nd4 Sc4 Tl4 Ni4'
_symmetry_space_group_name_H-M 'F -4 3 m'
_symmetry_Int_Tables_number 216
_symmetry_space_group_name_Hall 'F -4 2 3'
_cell_length_a 7.1786
_cell_length_b 7.1786
_cell_length_c 7.1786
_cell_angle_alpha 90.00
_cell_angle_beta 90.00
_cell_angle_gamma 90.00
loop_
_atom_site_label
_atom_site_type_symbol
_atom_site_fract_x
_atom_site_fract_y
_atom_site_fract_z
Nd1 Nd 0.0000 0.0000 0.0000
Sc1 Sc 0.0000 0.0000 0.5000
Tl1 Tl 0.2500 0.2500 0.2500
Ni1 Ni 0.2500 0.2500 0.7500
# - spin magnetization (μB per atom) = 0.001
# - DFT formation energy (meV/atom) = -179
# - theoretical density (g cm⁻³) = 8.121
# - N(E_F) (states/eV/atom) = 1.01
# - E (eV/atom) = -4.9903

6.
# NdScZnNi | Alexandria | PBE-GGA | relaxed
data_NdScZnNi
_chemical_formula_sum 'Nd4 Sc4 Zn4 Ni4'
_symmetry_space_group_name_H-M 'F -4 3 m'
_symmetry_Int_Tables_number 216
_symmetry_space_group_name_Hall 'F -4 2 3'
_cell_length_a 6.8834
_cell_length_b 6.8834
_cell_length_c 6.8834
_cell_angle_alpha 90.00
_cell_angle_beta 90.00
_cell_angle_gamma 90.00
loop_
_atom_site_label
_atom_site_type_symbol
_atom_site_fract_x
_atom_site_fract_y
_atom_site_fract_z
Nd1 Nd 0.0000 0.0000 0.0000
Sc1 Sc 0.0000 0.0000 0.5000
Zn1 Zn 0.2500 0.2500 0.7500
Ni1 Ni 0.2500 0.2500 0.2500
# - spin magnetization (μB per atom) = 0.000
# - DFT formation energy (meV/atom) = -268
# - theoretical density (g cm⁻³) = 6.381
# - N(E_F) (states/eV/atom) = 0.97
# - E (eV/atom) = -4.8067

7.
# Nd5NiSe4 | Alexandria | PBE-GGA | relaxed
data_Nd5NiSe4
_chemical_formula_sum 'Nd10 Ni2 Se8'
_symmetry_space_group_name_H-M 'I 4/m'
_symmetry_Int_Tables_number 87
_symmetry_space_group_name_Hall '-I 4'
_cell_length_a 9.3923
_cell_length_b 9.3923
_cell_length_c 5.9978
_cell_angle_alpha 90.00
_cell_angle_beta 90.00
_cell_angle_gamma 90.00
loop_
_atom_site_label
_atom_site_type_symbol
_atom_site_fract_x
_atom_site_fract_y
_atom_site_fract_z
Nd1 Nd 0.0000 0.0000 0.0000
Nd2 Nd 0.0974 0.2865 0.5000
Ni1 Ni 0.0000 0.0000 0.5000
Se1 Se 0.0937 0.3043 0.0000
# - spin magnetization (μB per atom) = 0.000
# - theoretical density (g cm⁻³) = 6.878
# - N(E_F) (states/eV/atom) = 0.79
# - E (eV/atom) = -5.8794
# - E_form (uncorrected) (eV per atom) = -1.52

8.
# Nd3NiSe2 | Alexandria | PBE-GGA | relaxed
data_Nd3NiSe2
_chemical_formula_sum 'Nd6 Ni2 Se4'
_symmetry_space_group_name_H-M 'I m m m'
_symmetry_Int_Tables_number 71
_symmetry_space_group_name_Hall '-I 2 2'
_cell_length_a 4.0491
_cell_length_b 6.0404
_cell_length_c 12.8709
_cell_angle_alpha 90.00
_cell_angle_beta 90.00
_cell_angle_gamma 90.00
loop_
_atom_site_label
_atom_site_type_symbol
_atom_site_fract_x
_atom_site_fract_y
_atom_site_fract_z
Nd1 Nd 0.0000 0.0000 0.0000
Nd2 Nd 0.0000 0.0000 0.3491
Ni1 Ni 0.0000 0.5000 0.0000
Se1 Se 0.0000 0.5000 0.3277
# - spin magnetization (μB per atom) = 0.000
# - theoretical density (g cm⁻³) = 6.850
# - N(E_F) (states/eV/atom) = 1.03
# - E (eV/atom) = -5.7756
# - E_form (uncorrected) (eV per atom) = -1.27

9.
# Nd2Ni2Se | Alexandria | PBE-GGA | relaxed
data_Nd2Ni2Se
_chemical_formula_sum 'Nd6 Ni6 Se3'
_symmetry_space_group_name_H-M 'R -3 m'
_symmetry_Int_Tables_number 166
_symmetry_space_group_name_Hall '-R 3 2"'
_cell_length_a 4.0592
_cell_length_b 4.0592
_cell_length_c 23.3725
_cell_angle_alpha 90.00
_cell_angle_beta 90.00
_cell_angle_gamma 120.00
loop_
_atom_site_label
_atom_site_type_symbol
_atom_site_fract_x
_atom_site_fract_y
_atom_site_fract_z
Nd1 Nd 0.0000 0.0000 0.0829
Ni1 Ni 0.0000 0.0000 0.3314
Se1 Se 0.0000 0.0000 0.5000
# - spin magnetization (μB per atom) = 0.040
# - theoretical density (g cm⁻³) = 7.242
# - N(E_F) (states/eV/atom) = 0.95
# - E (eV/atom) = -5.8586
# - E_form (uncorrected) (eV per atom) = -0.94

10.
# Nd8NiTe4Se3 | Alexandria | PBE-GGA | relaxed
data_Nd8NiTe4Se3
_chemical_formula_sum 'Nd16 Ni2 Te8 Se6'
_symmetry_space_group_name_H-M 'C 1 2/m 1'
_symmetry_Int_Tables_number 12
_symmetry_space_group_name_Hall '-C 2y'
_cell_length_a 14.9923
_cell_length_b 8.6545
_cell_length_c 8.8082
_cell_angle_alpha 90.00
_cell_angle_beta 124.56
_cell_angle_gamma 90.00
loop_
_atom_site_label
_atom_site_type_symbol
_atom_site_fract_x
_atom_site_fract_y
_atom_site_fract_z
Nd1 Nd 0.0062 0.2367 0.2820
Nd2 Nd 0.2320 0.0000 0.7194
Nd3 Nd 0.2417 0.5000 0.7245
Ni1 Ni 0.0000 0.0000 0.5000
Te1 Te 0.0000 0.0000 0.0000
Te2 Te 0.0000 0.5000 0.0000
Te3 Te 0.2500 0.2500 0.0000
Se1 Se 0.0000 0.5000 0.5000
Se2 Se 0.2500 0.2500 0.5000
# - spin magnetization (μB per atom) = 0.000
# - theoretical density (g cm⁻³) = 6.916
# - N(E_F) (states/eV/atom) = 0.46
# - E (eV/atom) = -5.6520
# - E_form (uncorrected) (eV per atom) = -1.47

11.
# NdUNiSe4 | Alexandria | PBE-GGA | relaxed
data_NdUNiSe4
_chemical_formula_sum 'Nd2 U2 Ni2 Se8'
_symmetry_space_group_name_H-M 'P 1 21/m 1'
_symmetry_Int_Tables_number 11
_symmetry_space_group_name_Hall '-P 2yb'
_cell_length_a 6.8890
_cell_length_b 5.9211
_cell_length_c 8.1491
_cell_angle_alpha 90.00
_cell_angle_beta 106.60
_cell_angle_gamma 90.00
loop_
_atom_site_label
_atom_site_type_symbol
_atom_site_fract_x
_atom_site_fract_y
_atom_site_fract_z
Nd1 Nd 0.2427 0.2500 0.4330
U1 U 0.2390 0.2500 0.9400
Ni1 Ni 0.2532 0.7500 0.1796
Se1 Se 0.0713 0.7500 0.3845
Se2 Se 0.0777 0.7500 0.8925
Se3 Se 0.4834 0.5080 0.7552
# - spin magnetization (μB per atom) = 0.314
# - theoretical density (g cm⁻³) = 7.890
# - N(E_F) (states/eV/atom) = 1.02
# - E (eV/atom) = -6.2567
# - E_form (uncorrected) (eV per atom) = -1.15

12.
# Nd3SiNi2 | Alexandria | PBE-GGA | relaxed
data_Nd3SiNi2
_chemical_formula_sum 'Nd12 Si4 Ni8'
_symmetry_space_group_name_H-M 'P n m a'
_symmetry_Int_Tables_number 62
_symmetry_space_group_name_Hall '-P 2ac 2n'
_cell_length_a 11.9042
_cell_length_b 3.9648
_cell_length_c 11.8916
_cell_angle_alpha 90.00
_cell_angle_beta 90.00
_cell_angle_gamma 90.00
loop_
_atom_site_label
_atom_site_type_symbol
_atom_site_fract_x
_atom_site_fract_y
_atom_site_fract_z
Nd1 Nd 0.0744 0.2500 0.1222
Nd2 Nd 0.1165 0.7500 0.5634
Nd3 Nd 0.1867 0.2500 0.8155
Si1 Si 0.1279 0.2500 0.3686
Ni1 Ni 0.0423 0.7500 0.3149
Ni2 Ni 0.1999 0.7500 0.9859
# - spin magnetization (μB per atom) = 0.000
# - theoretical density (g cm⁻³) = 6.843
# - N(E_F) (states/eV/atom) = 1.01
# - E (eV/atom) = -5.6223
# - E_form (uncorrected) (eV per atom) = -0.41